# CoPt5 PBE-GGA optimized geometry
data_CoPt5
_chemical_formula_sum 'Co1 Pt5'
_cell_length_a 4.7878
_cell_length_b 4.7878
_cell_length_c 4.5772
_cell_angle_alpha 90.00
_cell_angle_beta 90.00
_cell_angle_gamma 120.00
_symmetry_space_group_name_H-M 'P -6 2 m'
_symmetry_Int_Tables_number 189
_symmetry_space_group_name_Hall 'P -6 -2'
loop_
_atom_site_label
_atom_site_fract_x
_atom_site_fract_y
_atom_site_fract_z
Co1 0.0000 0.0000 0.0000
Pt1 0.0000 0.6715 0.5000
Pt2 0.3333 0.6667 0.0000
# Energy of formation (eV per atom): 0.0017
# Crystal system: hexagonal
# Volume (Å³ per atom): 15.14

=====

# Sr2LiAl3Zn12 PBE-GGA optimized geometry
data_Sr2LiAl3Zn12
_chemical_formula_sum 'Sr6 Li3 Al9 Zn36'
_cell_length_a 9.7082
_cell_length_b 9.7082
_cell_length_c 12.8228
_cell_angle_alpha 90.00
_cell_angle_beta 90.00
_cell_angle_gamma 120.00
_symmetry_space_group_name_H-M 'R -3 m'
_symmetry_Int_Tables_number 166
_symmetry_space_group_name_Hall '-R 3 2"'
loop_
_atom_site_label
_atom_site_fract_x
_atom_site_fract_y
_atom_site_fract_z
Sr1 0.0000 0.0000 0.2014
Li1 0.0000 0.0000 0.5000
Al1 0.0000 0.5000 0.0000
Zn1 0.0245 0.5122 0.6022
Zn2 0.0302 0.5151 0.2081
# Energy of formation (eV per atom): 0.0326
# Crystal system: trigonal
# Volume (Å³ per atom): 19.38

=====

# CaHo3Tm2Bi6 PBE-GGA optimized geometry
data_CaHo3Tm2Bi6
_chemical_formula_sum 'Ca2 Ho6 Tm4 Bi12'
_cell_length_a 19.5167
_cell_length_b 4.4676
_cell_length_c 8.9733
_cell_angle_alpha 90.00
_cell_angle_beta 103.21
_cell_angle_gamma 90.00
_symmetry_space_group_name_H-M 'C 1 2/m 1'
_symmetry_Int_Tables_number 12
loop_
_symmetry_equiv_pos_as_xyz
'x,y,z'
'-x,-y,-z'
'-x,y,-z'
'x,-y,z'
'x+1/2,y+1/2,z'
'-x+1/2,-y+1/2,-z'
'-x+1/2,y+1/2,-z'
'x+1/2,-y+1/2,z'
loop_
_atom_site_label
_atom_site_fract_x
_atom_site_fract_y
_atom_site_fract_z
Ca1 0.0000 0.0000 0.0000
Ho1 0.0000 0.0000 0.5000
Ho2 0.1644 0.5000 0.8340
Tm1 0.1662 0.5000 0.3320
Bi1 0.0012 0.5000 0.2567
Bi2 0.1676 0.0000 0.5823
Bi3 0.1696 0.0000 0.0870
# Energy of formation (eV per atom): -0.7921
# Crystal system: monoclinic
# Volume (Å³ per atom): 31.74

=====

# Pm3Y7Ho2 PBE-GGA optimized geometry
data_Pm3Y7Ho2
_chemical_formula_sum 'Pm3 Y7 Ho2'
_cell_length_a 3.6382
_cell_length_b 5.6103
_cell_length_c 20.6538
_cell_angle_alpha 90.00
_cell_angle_beta 95.06
_cell_angle_gamma 90.00
_symmetry_space_group_name_H-M 'P 1 2/m 1'
_symmetry_Int_Tables_number 10
loop_
_symmetry_equiv_pos_as_xyz
'x,y,z'
'-x,-y,-z'
'-x,y,-z'
'x,-y,z'
loop_
_atom_site_label
_atom_site_fract_x
_atom_site_fract_y
_atom_site_fract_z
Pm1 0.0000 0.0000 0.0000
Pm2 0.3306 0.5000 0.6622
Y1 0.0862 0.5000 0.1717
Y2 0.2152 0.0000 0.4300
Y3 0.4324 0.0000 0.8654
Y4 0.5000 0.5000 0.0000
Ho1 0.1373 0.0000 0.2737
# Energy relative to the lowest polymorph listed for this composition (meV per atom): 145.5
# Energy of formation (eV per atom): 0.2319
# Crystal system: monoclinic
# Volume (Å³ per atom): 34.99

=====

# ReIr3Os PBE-GGA optimized geometry
data_ReIr3Os
_chemical_formula_sum 'Re1 Ir3 Os1'
_cell_length_a 4.6720
_cell_length_b 4.6720
_cell_length_c 4.6720
_cell_angle_alpha 90.00
_cell_angle_beta 90.00
_cell_angle_gamma 90.00
_symmetry_space_group_name_H-M 'P m -3 m'
_symmetry_Int_Tables_number 221
_symmetry_space_group_name_Hall '-P 4 2 3'
loop_
_atom_site_label
_atom_site_fract_x
_atom_site_fract_y
_atom_site_fract_z
Re1 0.0000 0.0000 0.0000
Ir1 0.0000 0.0000 0.5000
Os1 0.5000 0.5000 0.5000
# Energy relative to the lowest polymorph listed for this composition (meV per atom): 2230.1
# Energy of formation (eV per atom): 2.3417
# Crystal system: cubic
# Volume (Å³ per atom): 20.40

=====

# TlIn2Br2 PBE-GGA optimized geometry
data_TlIn2Br2
_chemical_formula_sum 'Tl2 In4 Br4'
_cell_length_a 5.1600
_cell_length_b 5.1600
_cell_length_c 13.8094
_cell_angle_alpha 90.00
_cell_angle_beta 90.00
_cell_angle_gamma 90.00
_symmetry_space_group_name_H-M 'I 4/m m m'
_symmetry_Int_Tables_number 139
_symmetry_space_group_name_Hall '-I 4 2'
loop_
_atom_site_label
_atom_site_fract_x
_atom_site_fract_y
_atom_site_fract_z
Tl1 0.0000 0.0000 0.0000
In1 0.0000 0.0000 0.3776
Br1 0.0000 0.5000 0.2500
# Uncorrected formation energy (eV/f.u.): -1.6
# Energy relative to the lowest polymorph listed for this composition (meV per atom): 84.3
# Crystal system: tetragonal
# Volume (Å³ per atom): 36.77

=====

# CsVSnBr6 PBE-GGA optimized geometry
data_CsVSnBr6
_chemical_formula_sum 'Cs1 V1 Sn1 Br6'
_cell_length_a 7.2782
_cell_length_b 7.2782
_cell_length_c 7.9890
_cell_angle_alpha 90.00
_cell_angle_beta 90.00
_cell_angle_gamma 120.00
_symmetry_space_group_name_H-M 'P 3 1 2'
_symmetry_Int_Tables_number 149
loop_
_symmetry_equiv_pos_as_xyz
'x,y,z'
'-y,x-y,z'
'-x+y,-x,z'
'-y,-x,-z'
'-x+y,y,-z'
'x,x-y,-z'
loop_
_atom_site_label
_atom_site_fract_x
_atom_site_fract_y
_atom_site_fract_z
Cs1 0.0000 0.0000 0.0000
V1 0.6667 0.3333 0.5000
Sn1 0.3333 0.6667 0.5000
Br1 0.3871 0.0392 0.6878
# Uncorrected formation energy (eV/f.u.): -9.5
# Crystal system: trigonal
# Volume (Å³ per atom): 40.72

=====

# MgCrFe2 PBE-GGA optimized geometry
data_MgCrFe2
_chemical_formula_sum 'Mg2 Cr2 Fe4'
_cell_length_a 3.0373
_cell_length_b 4.1314
_cell_length_c 8.1780
_cell_angle_alpha 90.00
_cell_angle_beta 90.00
_cell_angle_gamma 90.00
_symmetry_space_group_name_H-M 'C m m m'
_symmetry_Int_Tables_number 65
_symmetry_space_group_name_Hall '-C 2 2'
loop_
_atom_site_label
_atom_site_fract_x
_atom_site_fract_y
_atom_site_fract_z
Mg1 0.0000 0.0000 0.0000
Cr1 0.0000 0.0000 0.5000
Fe1 0.0000 0.5000 0.2710
# Energy of formation (eV per atom): 0.2464
# Crystal system: orthorhombic
# Volume (Å³ per atom): 12.83

=====

# FeSn2Pb PBE-GGA optimized geometry
data_FeSn2Pb
_chemical_formula_sum 'Fe4 Sn8 Pb4'
_cell_length_a 5.1944
_cell_length_b 5.1944
_cell_length_c 16.9847
_cell_angle_alpha 90.00
_cell_angle_beta 90.00
_cell_angle_gamma 90.00
_symmetry_space_group_name_H-M 'I -4 2 d'
_symmetry_Int_Tables_number 122
_symmetry_space_group_name_Hall 'I -4 2bw'
loop_
_atom_site_label
_atom_site_fract_x
_atom_site_fract_y
_atom_site_fract_z
Fe1 0.0000 0.0000 0.0000
Sn1 0.1548 0.2500 0.1250
Pb1 0.0000 0.0000 0.5000
# Energy of formation (eV per atom): 0.4494
# Crystal system: tetragonal
# Volume (Å³ per atom): 28.64

=====

# TiPd3Au PBE-GGA optimized geometry
data_TiPd3Au
_chemical_formula_sum 'Ti2 Pd6 Au2'
_cell_length_a 4.1788
_cell_length_b 6.5473
_cell_length_c 6.1729
_cell_angle_alpha 90.00
_cell_angle_beta 90.00
_cell_angle_gamma 90.00
_symmetry_space_group_name_H-M 'P m m n'
_symmetry_Int_Tables_number 59
loop_
_symmetry_equiv_pos_as_xyz
'x,y,z'
'-x,-y,-z'
'-x+1/2,-y+1/2,z'
'x+1/2,y+1/2,-z'
'x+1/2,-y,-z'
'-x+1/2,y,z'
'-x,y+1/2,-z'
'x,-y+1/2,z'
loop_
_atom_site_label
_atom_site_fract_x
_atom_site_fract_y
_atom_site_fract_z
Ti1 0.2500 0.2500 0.0459
Pd1 0.2500 0.5459 0.7761
Pd2 0.2500 0.7500 0.2040
Au1 0.2500 0.2500 0.4695
# Energy relative to the lowest polymorph listed for this composition (meV per atom): 149.1
# Energy of formation (eV per atom): -0.3010
# Crystal system: orthorhombic
# Volume (Å³ per atom): 16.89

=====

# Sr2Ca7Mg PBE-GGA optimized geometry
data_Sr2Ca7Mg
_chemical_formula_sum 'Sr8 Ca28 Mg4'
_cell_length_a 12.5554
_cell_length_b 12.5554
_cell_length_c 12.5554
_cell_angle_alpha 90.00
_cell_angle_beta 90.00
_cell_angle_gamma 90.00
_symmetry_space_group_name_H-M 'F m -3 m'
_symmetry_Int_Tables_number 225
_symmetry_space_group_name_Hall '-F 4 2 3'
loop_
_atom_site_label
_atom_site_fract_x
_atom_site_fract_y
_atom_site_fract_z
Sr1 0.2500 0.2500 0.2500
Ca1 0.0000 0.0000 0.0000
Ca2 0.0000 0.0000 0.2597
Mg1 0.0000 0.0000 0.5000
# Energy of formation (eV per atom): 0.3364
# Crystal system: cubic
# Volume (Å³ per atom): 49.48

=====

# SrCa12Ac3 PBE-GGA optimized geometry
data_SrCa12Ac3
_chemical_formula_sum 'Sr6 Ca72 Ac18'
_cell_length_a 12.3371
_cell_length_b 12.3371
_cell_length_c 33.0369
_cell_angle_alpha 90.00
_cell_angle_beta 90.00
_cell_angle_gamma 120.00
_symmetry_space_group_name_H-M 'R 3 c'
_symmetry_Int_Tables_number 161
_symmetry_space_group_name_Hall 'R 3 -2"c'
loop_
_atom_site_label
_atom_site_fract_x
_atom_site_fract_y
_atom_site_fract_z
Sr1 0.0000 0.0000 0.0000
Ca1 0.0174 0.1878 0.4067
Ca2 0.1462 0.4767 0.8783
Ca3 0.1542 0.4789 0.4783
Ca4 0.1720 0.4780 0.7587
Ac1 0.0361 0.3346 0.6460
# Energy of formation (eV per atom): 0.1687
# Crystal system: trigonal
# Volume (Å³ per atom): 45.36

=====

- The lowest volume belongs to which entry?
  MgCrFe2

=====

- Among the records above, which one has the lowest volume?
  MgCrFe2

=====

- The highest volume belongs to which entry?
  Sr2Ca7Mg